TiFePS2: optimized geometry, PBE.

Theoretical density in kg/m³: 3238
Formation energy from raw total energies in eV/atom: 0.26

a b c (Å): 4.6277 4.6277 4.7608
angles (deg): 90.00 90.00 90.00
Last column: nearest neighbours and their distance in Å.
Space group P4/mmm (No. 123)
One atom of each set of equivalent atoms:
Ti 0.0000 0.0000 0.0000  4 S 2.31, 2 P 2.38
Fe 0.5000 0.5000 0.5000  4 P 3.27, 8 S 3.32
P 0.0000 0.0000 0.5000  2 Ti 2.38
S 0.0000 0.5000 0.0000  2 Ti 2.31

TiFePS2: optimized geometry, PBE.

Theoretical density in kg/m³: 3850
Formation energy from raw total energies in eV/atom: 0.21

a b c (Å): 4.5556 4.5556 4.1315
angles (deg): 90.00 90.00 90.00
Last column: nearest neighbours and their distance in Å.
Space group P4/mmm (No. 123)
One atom of each set of equivalent atoms:
Ti 0.0000 0.0000 0.0000  8 S 3.08, 4 P 3.22
Fe 0.5000 0.5000 0.5000  2 P 2.07, 4 S 2.28
P 0.5000 0.5000 0.0000  2 Fe 2.07
S 0.0000 0.5000 0.5000  2 Fe 2.28

TlFePS2: optimized geometry, PBE.

Theoretical density in kg/m³: 3775
Formation energy from raw total energies in eV/atom: 1.51

a b c (Å): 5.4070 5.4070 5.3464
angles (deg): 90.00 90.00 90.00
Last column: nearest neighbours and their distance in Å.
Space group P4/mmm (No. 123)
One atom of each set of equivalent atoms:
Tl 0.0000 0.0000 0.0000  2 P 2.67, 4 S 2.70
Fe 0.5000 0.5000 0.5000  8 S 3.80, 4 P 3.82
P 0.0000 0.0000 0.5000  2 Tl 2.67
S 0.0000 0.5000 0.0000  2 Tl 2.70

TlFePS2: optimized geometry, PBE.

Theoretical density in kg/m³: 5916
Formation energy from raw total energies in eV/atom: 0.24

a b c (Å): 4.7864 4.7864 4.3533
angles (deg): 90.00 90.00 90.00
Last column: nearest neighbours and their distance in Å.
Space group P4/mmm (No. 123)
One atom of each set of equivalent atoms:
Tl 0.0000 0.0000 0.0000  8 S 3.24, 4 P 3.38
Fe 0.5000 0.5000 0.5000  2 P 2.18, 4 S 2.39
P 0.5000 0.5000 0.0000  2 Fe 2.18
S 0.0000 0.5000 0.5000  2 Fe 2.39

FePWS2: optimized geometry, PBE.

Theoretical density in kg/m³: 5380
Formation energy from raw total energies in eV/atom: 0.69

a b c (Å): 4.6100 4.6100 4.8620
angles (deg): 90.00 90.00 90.00
Last column: nearest neighbours and their distance in Å.
Space group P4/mmm (No. 123)
One atom of each set of equivalent atoms:
Fe 0.0000 0.0000 0.0000  4 P 3.26, 8 S 3.35
P 0.5000 0.5000 0.0000  2 W 2.43
W 0.5000 0.5000 0.5000  4 S 2.30, 2 P 2.43
S 0.0000 0.5000 0.5000  2 W 2.30

FePWS2: optimized geometry, PBE.

Theoretical density in kg/m³: 7098
Formation energy from raw total energies in eV/atom: 1.01

a b c (Å): 4.2753 4.2753 4.2849
angles (deg): 90.00 90.00 90.00
Last column: nearest neighbours and their distance in Å.
Space group P4/mmm (No. 123)
One atom of each set of equivalent atoms:
Fe 0.0000 0.0000 0.0000  4 S 2.14, 2 P 2.14
P 0.0000 0.0000 0.5000  2 Fe 2.14
W 0.5000 0.5000 0.5000  4 P 3.02, 8 S 3.03
S 0.0000 0.5000 0.0000  2 Fe 2.14

YFeP2S: optimized geometry, PBE.

Theoretical density in kg/m³: 2843
Formation energy from raw total energies in eV/atom: 1.18

a b c (Å): 5.2331 5.2331 5.0925
angles (deg): 90.00 90.00 90.00
Last column: nearest neighbours and their distance in Å.
Space group P4/mmm (No. 123)
One atom of each set of equivalent atoms:
Y 0.0000 0.0000 0.0000  2 S 2.55, 4 P 2.62
Fe 0.5000 0.5000 0.5000  8 P 3.65, 4 S 3.70
P 0.0000 0.5000 0.0000  2 Y 2.62
S 0.0000 0.0000 0.5000  2 Y 2.55

YFeP2S: optimized geometry, PBE.

Theoretical density in kg/m³: 4360
Formation energy from raw total energies in eV/atom: -0.39

a b c (Å): 4.2301 4.2301 5.0815
angles (deg): 90.00 90.00 90.00
Last column: nearest neighbours and their distance in Å.
Space group P4/mmm (No. 123)
One atom of each set of equivalent atoms:
Y 0.0000 0.0000 0.0000  4 S 2.99, 8 P 3.31
Fe 0.5000 0.5000 0.5000  4 P 2.12
P 0.0000 0.5000 0.5000  2 Fe 2.12
S 0.5000 0.5000 0.0000  2 Fe 2.54

ZnFeP2S: optimized geometry, PBE.

Theoretical density in kg/m³: 4000
Formation energy from raw total energies in eV/atom: 0.40

a b c (Å): 4.1478 4.1478 5.1945
angles (deg): 90.00 90.00 90.00
Last column: nearest neighbours and their distance in Å.
Space group P4/mmm (No. 123)
One atom of each set of equivalent atoms:
Zn 0.0000 0.0000 0.0000  4 S 2.93
Fe 0.5000 0.5000 0.5000  4 P 2.07
P 0.0000 0.5000 0.5000  2 Fe 2.07
S 0.5000 0.5000 0.0000  2 Fe 2.60

ZnFe2PS: optimized geometry, PBE.

Theoretical density in kg/m³: 4578
Formation energy from raw total energies in eV/atom: 0.61

a b c (Å): 4.2655 4.2655 4.7872
angles (deg): 90.00 90.00 90.00
Last column: nearest neighbours and their distance in Å.
Space group P4/mmm (No. 123)
One atom of each set of equivalent atoms:
Zn 0.0000 0.0000 0.0000  4 S 3.02, 8 Fe 3.21
Fe 0.0000 0.5000 0.5000  2 P 2.13
P 0.5000 0.5000 0.5000  4 Fe 2.13
S 0.5000 0.5000 0.0000  2 P 2.39

formation energy from raw total energies of number 6 (FePWS2)? 1.01 eV/atom

Which formula does entry 7 have? YFeP2S